No. 1
La3PrBi4 (PBE, relaxed); energy relative to the elements = -1.0345 eV/atom; total energy = -5.42 eV per atom; DOS at the Fermi energy = 0.15 states/eV per atom; space group = Pm-3m, No. 221
1.0
6.630 0.000 0.000
0.000 6.630 0.000
0.000 0.000 6.630
La Pr Bi
3 1 4
direct
0.000 0.000 0.500
0.000 0.500 0.000
0.500 0.000 0.000
0.500 0.500 0.500
0.000 0.000 0.000
0.000 0.500 0.500
0.500 0.000 0.500
0.500 0.500 0.000

---

No. 2
CaLaDy4 (PBE, relaxed); energy relative to the elements = 0.2088 eV/atom; total energy = -4.01 eV per atom; DOS at the Fermi energy = 1.13 states/eV per atom; space group = F-43m, No. 216
1.0
0.000 4.749 4.749
4.749 0.000 4.749
4.749 4.749 0.000
Ca La Dy
1 1 4
direct
0.000 0.000 0.000
0.250 0.250 0.250
0.128 0.624 0.624
0.624 0.128 0.624
0.624 0.624 0.128
0.624 0.624 0.624

---

No. 3
La2Pr5Er4 (PBE, relaxed); energy relative to the elements = 0.1347 eV/atom; energy above the most stable polymorph in this dataset = 0.00 kJ per mole of atoms; total energy = -4.59 eV per atom; DOS at the Fermi energy = 1.60 states/eV per atom; space group = C2/m, No. 12
1.0
9.161 -1.810 0.000
9.161 1.810 0.000
-3.669 0.000 11.731
La Pr Er
2 5 4
direct
0.179 0.179 0.298
0.821 0.821 0.702
0.000 0.000 0.000
0.334 0.334 0.987
0.391 0.391 0.482
0.609 0.609 0.518
0.666 0.666 0.013
0.169 0.169 0.770
0.494 0.494 0.248
0.506 0.506 0.752
0.831 0.831 0.230

---

No. 4
La7Pr2Sm (PBE, relaxed); energy relative to the elements = 0.5426 eV/atom; energy above the most stable polymorph in this dataset = 51.20 kJ per mole of atoms; total energy = -4.33 eV per atom; DOS at the Fermi energy = 1.77 states/eV per atom; space group = Cmmm, No. 65
1.0
4.519 -8.175 0.000
4.519 8.175 0.000
0.000 0.000 5.652
La Pr Sm
7 2 1
direct
0.000 0.000 0.000
0.199 0.426 0.000
0.259 0.741 0.500
0.426 0.199 0.000
0.574 0.801 0.000
0.741 0.259 0.500
0.801 0.574 0.000
0.200 0.800 0.000
0.800 0.200 0.000
0.500 0.500 0.500

---

No. 5
ThBe2Au2 (PBE, relaxed); energy relative to the elements = -0.4136 eV/atom; total energy = -4.70 eV per atom; DOS at the Fermi energy = 1.06 states/eV per atom; space group = P4/nmm, No. 129
1.0
4.266 0.000 0.000
0.000 4.266 0.000
0.000 0.000 9.571
Th Be Au
2 4 4
direct
0.250 0.250 0.240
0.750 0.750 0.760
0.250 0.250 0.628
0.250 0.750 0.000
0.750 0.250 0.000
0.750 0.750 0.372
0.250 0.250 0.877
0.250 0.750 0.500
0.750 0.250 0.500
0.750 0.750 0.123

---

No. 6
Ho4BiTe2Se (PBE, relaxed); total energy = -5.26 eV per atom; energy relative to the elements, uncorrected = -1.2622 eV/atom; DOS at the Fermi energy = 0.50 states/eV per atom; space group = P2/m, No. 10
1.0
7.466 0.000 0.000
0.000 4.283 0.000
-2.460 0.000 7.069
Ho Bi Te Se
4 1 2 1
direct
0.224 0.000 0.225
0.235 0.500 0.763
0.765 0.500 0.237
0.776 0.000 0.775
0.500 0.000 0.000
0.000 0.000 0.500
0.500 0.500 0.500
0.000 0.500 0.000

---

No. 7
GdGeP2 (PBE, relaxed); energy relative to the elements = 0.1746 eV/atom; total energy = -7.20 eV per atom; DOS at the Fermi energy = 0.88 states/eV per atom; space group = R-3m, No. 166
1.0
1.790 1.034 8.394
-1.790 1.034 8.394
0.000 -2.067 8.394
Gd Ge P
1 1 2
direct
0.000 0.000 0.000
0.500 0.500 0.500
0.110 0.110 0.110
0.890 0.890 0.890

---

No. 8
EuSc2Ni (PBE, relaxed); energy relative to the elements = -0.1409 eV/atom; energy above the most stable polymorph in this dataset = 0.00 kJ per mole of atoms; total energy = -7.32 eV per atom; DOS at the Fermi energy = 1.14 states/eV per atom; space group = P4/mmm, No. 123
1.0
3.268 0.000 0.000
0.000 3.268 0.000
0.000 0.000 8.693
Eu Sc Ni
1 2 1
direct
0.000 0.000 0.000
0.500 0.500 0.328
0.500 0.500 0.672
0.000 0.000 0.500